! In3Ga2Hg | Alexandria via LeMat-Bulk | PBE | relaxed; values from VASP
&SYSTEM
  ibrav = 0, nat = 12, ntyp = 3
/
ATOMIC_SPECIES
In 114.82 In.upf
Ga 69.72 Ga.upf
Hg 200.59 Hg.upf
CELL_PARAMETERS angstrom
3.849 0.000 0.000
0.000 8.743 0.000
0.000 0.000 8.773
ATOMIC_POSITIONS angstrom
In 1.925 1.726 0.935
In 0.000 7.306 5.137
In 1.925 6.098 7.838
In 1.925 6.017 2.399
In 1.925 1.646 6.373
In 0.000 2.934 3.636
Ga 0.000 8.263 2.094
Ga 0.000 3.891 6.679
Ga 1.925 4.903 5.026
Ga 1.925 0.532 3.746
Hg 0.000 4.144 0.767
Hg 0.000 8.515 8.006
! **ΔH_f (0 K)**: 34 meV/atom
! **Total magnetization**: 0.00 μB per atom
! **Crystal system**: orthorhombic
! **Density of states at the Fermi level**: 0.351 states/eV/atom